Record 1
# PBE LiPt4Au9, optimized geometry
# ΔH_f (0 K), eV per atom: 0.02
# Crystal system: hexagonal
data_LiPt4Au9
_chemical_formula_sum 'Li2 Pt8 Au18'
_cell_length_a 7.9820
_cell_length_b 7.9820
_cell_length_c 8.8985
_cell_angle_alpha 90.00
_cell_angle_beta 90.00
_cell_angle_gamma 120.00
_space_group_name_H-M_alt 'P 63/m m c'
_space_group_IT_number 194
_space_group_name_Hall '-P 6c 2c'
loop_
_atom_site_label
_atom_site_fract_x
_atom_site_fract_y
_atom_site_fract_z
Li1 0.3333 0.6667 0.2500
Pt1 0.0000 0.0000 0.0000
Pt2 0.1123 0.2246 0.7500
Au1 0.0408 0.5204 0.7500
Au2 0.2111 0.4221 0.0281

***

Record 2
# PBE PuAgPdRu, optimized geometry
# ΔH_f (0 K), eV per atom: -0.07
# Crystal system: cubic
data_PuAgPdRu
_chemical_formula_sum 'Pu4 Ag4 Pd4 Ru4'
_cell_length_a 6.607
_cell_length_b 6.607
_cell_length_c 6.607
_cell_angle_alpha 90.00
_cell_angle_beta 90.00
_cell_angle_gamma 90.00
_space_group_name_H-M_alt 'F -4 3 m'
_space_group_IT_number 216
_space_group_name_Hall 'F -4 2 3'
loop_
_atom_site_label
_atom_site_fract_x
_atom_site_fract_y
_atom_site_fract_z
Pu1 0.000 0.000 0.000
Ag1 0.000 0.000 0.500
Pd1 0.250 0.250 0.250
Ru1 0.250 0.250 0.750

***

Record 3
# PBE Ag3SBr, optimized geometry
# Formation energy without anion corrections, meV/atom: -113
# Crystal system: orthorhombic
data_Ag3SBr
_chemical_formula_sum 'Ag24 S8 Br8'
_cell_length_a 9.772
_cell_length_b 9.636
_cell_length_c 9.799
_cell_angle_alpha 90.00
_cell_angle_beta 90.00
_cell_angle_gamma 90.00
_space_group_name_H-M_alt 'C m c m'
_space_group_IT_number 63
_space_group_name_Hall '-C 2c 2'
loop_
_atom_site_label
_atom_site_fract_x
_atom_site_fract_y
_atom_site_fract_z
Ag1 0.000 0.212 0.045
Ag2 0.169 0.500 0.000
Ag3 0.216 0.201 0.750
S1 0.250 0.250 0.000
Br1 0.000 0.001 0.250
Br2 0.000 0.491 0.750

***

Record 4
# PBE Rb2Na3TlCl6, optimized geometry
# Formation energy without anion corrections, meV/atom: -1691
# Crystal system: monoclinic
data_Rb2Na3TlCl6
_chemical_formula_sum 'Rb4 Na6 Tl2 Cl12'
_cell_length_a 19.125
_cell_length_b 4.313
_cell_length_c 8.802
_cell_angle_alpha 90.00
_cell_angle_beta 104.92
_cell_angle_gamma 90.00
_space_group_name_H-M_alt 'C 1 2/m 1'
_space_group_IT_number 12
loop_
_space_group_symop_operation_xyz
'x,y,z'
'-x,-y,-z'
'-x,y,-z'
'x,-y,z'
'x+1/2,y+1/2,z'
'-x+1/2,-y+1/2,-z'
'-x+1/2,y+1/2,-z'
'x+1/2,-y+1/2,z'
loop_
_atom_site_label
_atom_site_fract_x
_atom_site_fract_y
_atom_site_fract_z
Rb1 0.166 0.000 0.329
Na1 0.000 0.500 0.500
Na2 0.166 0.000 0.832
Tl1 0.000 0.500 0.000
Cl1 0.009 0.000 0.731
Cl2 0.158 0.500 0.603
Cl3 0.174 0.500 0.058

***

Record 5
# PBE TbTmSb2O8, optimized geometry
# Formation energy without anion corrections, meV/atom: -2357
# Crystal system: tetragonal
data_TbTmSb2O8
_chemical_formula_sum 'Tb2 Tm2 Sb4 O16'
_cell_length_a 5.240
_cell_length_b 5.240
_cell_length_c 11.159
_cell_angle_alpha 90.00
_cell_angle_beta 90.00
_cell_angle_gamma 90.00
_space_group_name_H-M_alt 'I -4'
_space_group_IT_number 82
loop_
_space_group_symop_operation_xyz
'x,y,z'
'y,-x,-z'
'-x,-y,z'
'-y,x,-z'
'x+1/2,y+1/2,z+1/2'
'y+1/2,-x+1/2,-z+1/2'
'-x+1/2,-y+1/2,z+1/2'
'-y+1/2,x+1/2,-z+1/2'
loop_
_atom_site_label
_atom_site_fract_x
_atom_site_fract_y
_atom_site_fract_z
Tb1 0.000 0.000 0.000
Tm1 0.000 0.500 0.750
Sb1 0.000 0.000 0.500
Sb2 0.000 0.500 0.250
O1 0.181 0.255 0.591
O2 0.187 0.755 0.162

***

Record 6
# PBE NaCaTlPb, optimized geometry
# ΔH_f (0 K), eV per atom: -0.33
# Crystal system: cubic
data_NaCaTlPb
_chemical_formula_sum 'Na4 Ca4 Tl4 Pb4'
_cell_length_a 7.746
_cell_length_b 7.746
_cell_length_c 7.746
_cell_angle_alpha 90.00
_cell_angle_beta 90.00
_cell_angle_gamma 90.00
_space_group_name_H-M_alt 'F -4 3 m'
_space_group_IT_number 216
_space_group_name_Hall 'F -4 2 3'
loop_
_atom_site_label
_atom_site_fract_x
_atom_site_fract_y
_atom_site_fract_z
Na1 0.000 0.000 0.000
Ca1 0.000 0.000 0.500
Tl1 0.250 0.250 0.750
Pb1 0.250 0.250 0.250

***

Record 7
# PBE ErZn2Co2Si, optimized geometry
# Formation energy without anion corrections, meV/atom: -183
# Crystal system: tetragonal
data_ErZn2Co2Si
_chemical_formula_sum 'Er1 Zn2 Co2 Si1'
_cell_length_a 4.217
_cell_length_b 4.217
_cell_length_c 5.523
_cell_angle_alpha 90.00
_cell_angle_beta 90.00
_cell_angle_gamma 90.00
_space_group_name_H-M_alt 'P 4/m m m'
_space_group_IT_number 123
_space_group_name_Hall '-P 4 2'
loop_
_atom_site_label
_atom_site_fract_x
_atom_site_fract_y
_atom_site_fract_z
Er1 0.000 0.000 0.000
Zn1 0.500 0.500 0.232
Co1 0.000 0.500 0.500
Si1 0.000 0.000 0.500

***

Record 8
# PBE Th3GaC2, optimized geometry
# ΔH_f (0 K), eV per atom: -0.28
# Crystal system: orthorhombic
data_Th3GaC2
_chemical_formula_sum 'Th6 Ga2 C4'
_cell_length_a 3.639
_cell_length_b 11.901
_cell_length_c 5.937
_cell_angle_alpha 90.00
_cell_angle_beta 90.00
_cell_angle_gamma 90.00
_space_group_name_H-M_alt 'P m c 21'
_space_group_IT_number 26
loop_
_space_group_symop_operation_xyz
'x,y,z'
'-x,-y,z+1/2'
'-x,y,z'
'x,-y,z+1/2'
loop_
_atom_site_label
_atom_site_fract_x
_atom_site_fract_y
_atom_site_fract_z
Th1 0.000 0.091 0.000
Th2 0.500 0.176 0.492
Th3 0.500 0.380 0.957
Ga1 0.000 0.397 0.475
C1 0.000 0.272 0.749
C2 0.500 0.010 0.753